Entry 1:
CrGe3N | PBE | relaxed

Output
Its spin magnetization is 3.00 μB/f.u. As for the energy relative to the elements, uncorrected: 5.39 eV per formula unit. As for the energy relative to the lowest polymorph listed for this composition: 84 meV/atom. As for the crystal system: cubic.

The structure in POSCAR format:
```
CrGe3N
1.0
4.621 0.000 0.000
0.000 4.621 0.000
0.000 0.000 4.621
Cr Ge N
1 3 1
Direct
0.000 0.000 0.000
0.000 0.000 0.500
0.000 0.500 0.000
0.500 0.000 0.000
0.500 0.500 0.500
```

=====

Entry 2:
HoTmC2 | PBE | relaxed

Output
Its calculated formation energy is 844 meV per atom. Its spin magnetization is 0.00 μB/f.u. As for the crystal system: trigonal.

The structure in POSCAR format:
```
HoTmC2
1.0
3.762 0.000 0.000
-1.881 3.258 0.000
0.000 0.000 19.491
Ho Tm C
3 3 6
Direct
0.000 0.000 0.000
0.333 0.667 0.667
0.667 0.333 0.333
0.000 0.000 0.500
0.333 0.667 0.167
0.667 0.333 0.833
0.000 0.000 0.111
0.000 0.000 0.889
0.333 0.667 0.555
0.333 0.667 0.778
0.667 0.333 0.222
0.667 0.333 0.445
```

=====

Entry 3:
BeReAs2 | PBE | relaxed

Output
Its calculated formation energy is 482 meV per atom. Its spin magnetization is 0.00 μB/f.u. As for the crystal system: monoclinic.

The structure in POSCAR format:
```
BeReAs2
1.0
3.230 0.000 0.000
0.000 4.293 0.000
-1.601 0.000 4.590
Be Re As
1 1 2
Direct
0.000 0.000 0.000
0.000 0.000 0.500
0.164 0.500 0.789
0.836 0.500 0.211
```

=====

Entry 4:
CaSc2Co9 | PBE | relaxed

Output
Its calculated formation energy is -156 meV per atom. Its spin magnetization is 11.57 μB/f.u. As for the crystal system: trigonal.

The structure in POSCAR format:
```
CaSc2Co9
1.0
2.460 1.420 7.875
-2.460 1.420 7.875
0.000 -2.841 7.875
Ca Sc Co
1 2 9
Direct
0.000 0.000 0.000
0.141 0.141 0.141
0.859 0.859 0.859
0.078 0.588 0.588
0.336 0.336 0.336
0.412 0.412 0.922
0.412 0.922 0.412
0.500 0.500 0.500
0.588 0.078 0.588
0.588 0.588 0.078
0.664 0.664 0.664
0.922 0.412 0.412
```

=====

Entry 5:
YZrGe | PBE | relaxed

Output
Its calculated formation energy is -717 meV per atom. Its spin magnetization is 0.26 μB/f.u. As for the crystal system: tetragonal.

The structure in POSCAR format:
```
YZrGe
1.0
4.152 0.000 0.000
0.000 4.152 0.000
0.000 0.000 16.059
Y Zr Ge
4 4 4
Direct
0.000 0.000 0.177
0.000 0.000 0.823
0.500 0.500 0.323
0.500 0.500 0.677
0.000 0.500 0.000
0.000 0.500 0.500
0.500 0.000 0.000
0.500 0.000 0.500
0.000 0.000 0.369
0.000 0.000 0.631
0.500 0.500 0.131
0.500 0.500 0.869
```

=====

Entry 6:
ErSc3Os | PBE | relaxed

Output
Its calculated formation energy is -157 meV per atom. Its spin magnetization is 0.32 μB/f.u. As for the crystal system: monoclinic.

The structure in POSCAR format:
```
ErSc3Os
1.0
5.570 -4.034 0.000
5.570 4.034 0.000
-4.894 0.000 5.552
Er Sc Os
2 6 2
Direct
0.054 0.054 0.277
0.946 0.946 0.723
0.079 0.464 0.820
0.440 0.440 0.637
0.464 0.079 0.820
0.536 0.921 0.180
0.560 0.560 0.363
0.921 0.536 0.180
0.257 0.257 0.130
0.743 0.743 0.870
```